This record from Alexandria describes a relaxed structure of SrInFeOs2. The functional is PBE-GGA.

a b c (Å): 4.623 4.830 4.623
angles (deg): 90.00 90.00 90.00
Fractional coordinates of all 5 atoms:
Sr 0.500 0.500 0.500
Os 0.000 0.000 0.500
Os 0.500 0.000 0.000
Fe 0.000 0.000 0.000
In 0.000 0.500 0.000

**ΔE_f**: 871.9 meV per atom
**Total moment**: 0.00 μB/f.u.
**Symmetry**: No. 123

***

This record from Alexandria describes a relaxed structure of TaInFeOs. The functional is PBE-GGA.

a b c (Å): 4.453 4.453 4.453
angles (deg): 60.00 60.00 60.00
Fractional coordinates of all 4 atoms:
In 0.500 0.500 0.500
Os 0.250 0.250 0.250
Fe 0.750 0.750 0.750
Ta 0.000 0.000 0.000

**ΔE_f**: -14.8 meV per atom
**Total moment**: 0.02 μB/f.u.
**Symmetry**: No. 216

***

This record from Alexandria describes a relaxed structure of InFeOsW2. The functional is PBE-GGA.

a b c (Å): 4.786 4.365 4.786
angles (deg): 90.00 90.00 90.00
Fractional coordinates of all 5 atoms:
Os 0.500 0.500 0.500
Fe 0.000 0.500 0.000
W 0.000 0.000 0.500
W 0.500 0.000 0.000
In 0.000 0.000 0.000

**ΔE_f**: 3005.8 meV per atom
**Total moment**: 0.00 μB/f.u.
**Symmetry**: No. 123

***

This record from Alexandria describes a relaxed structure of ZnInFe2Os. The functional is PBE-GGA.

a b c (Å): 4.382 4.619 4.382
angles (deg): 90.00 90.00 90.00
Site moments in Bohr magnetons follow the coordinates.
Fractional coordinates of all 5 atoms:
Zn 0.000 0.000 0.000  -0.05
Os 0.000 0.500 0.000  0.27
Fe 0.000 0.000 0.500  3.06
Fe 0.500 0.000 0.000  2.48
In 0.500 0.500 0.500  -0.08

**ΔE_f**: 1164.7 meV per atom
**Total moment**: 5.61 μB/f.u.
**Symmetry**: No. 123

***

This record from Alexandria describes a relaxed structure of ZnInFeOs2. The functional is PBE-GGA.

a b c (Å): 4.882 4.659 4.882
angles (deg): 90.00 90.00 90.00
Site moments in Bohr magnetons follow the coordinates.
Fractional coordinates of all 5 atoms:
Zn 0.500 0.500 0.500  -0.05
Os 0.000 0.000 0.500  1.24
Os 0.500 0.000 0.000  0.97
Fe 0.000 0.500 0.000  2.98
In 0.000 0.000 0.000  -0.06

**ΔE_f**: 2356.7 meV per atom
**Total moment**: 5.16 μB/f.u.
**Symmetry**: No. 123

***

This record from Alexandria describes a relaxed structure of InFe2P. The functional is PBE-GGA.

a b c (Å): 8.164 8.164 8.164
angles (deg): 21.23 21.23 21.23
Site moments in Bohr magnetons follow the coordinates.
Fractional coordinates of all 4 atoms:
Fe 0.997 0.997 0.997  1.82
Fe 0.736 0.736 0.736  2.72
In 0.496 0.496 0.496  -0.06
P 0.270 0.270 0.270  -0.05

**ΔE_f**: 203.0 meV per atom
**Total moment**: 4.33 μB/f.u.
**Symmetry**: No. 160

***

This record from Alexandria describes a relaxed structure of InFe2P. The functional is PBE-GGA.

a b c (Å): 3.328 2.865 6.060
angles (deg): 73.71 90.00 90.00
Site moments in Bohr magnetons follow the coordinates.
Fractional coordinates of all 4 atoms:
Fe 0.000 0.911 0.942  1.03
Fe 0.000 0.589 0.558  1.03
In 0.500 0.250 0.250  -0.04
P 0.500 0.750 0.750  -0.05

**ΔE_f**: 60.3 meV per atom
**Total moment**: 1.91 μB/f.u.
**Symmetry**: No. 10

***

This record from Alexandria describes a relaxed structure of InFe2P. The functional is PBE-GGA.

a b c (Å): 6.855 6.855 6.855
angles (deg): 153.33 156.22 36.03
Site moments in Bohr magnetons follow the coordinates.
Fractional coordinates of all 4 atoms:
Fe 0.087 0.087 0.000  1.73
Fe 0.763 0.263 0.500  0.94
In 0.445 0.445 0.000  -0.06
P 0.205 0.705 0.500  -0.06

**ΔE_f**: -79.6 meV per atom
**Total moment**: 2.47 μB/f.u.
**Symmetry**: No. 44

***

This record from Alexandria describes a relaxed structure of In4FeP. The functional is PBE-GGA.

a b c (Å): 5.898 5.898 5.898
angles (deg): 60.00 60.00 60.00
Site moments in Bohr magnetons follow the coordinates.
Fractional coordinates of all 6 atoms:
In 0.375 0.875 0.375  -0.01
In 0.875 0.375 0.375  -0.01
In 0.375 0.375 0.875  -0.01
In 0.375 0.375 0.375  -0.01
Fe 0.000 0.000 0.000  3.16
P 0.750 0.750 0.750  -0.02

**ΔE_f**: 788.9 meV per atom
**Total moment**: 2.98 μB/f.u.
**Symmetry**: No. 216

***

This record from Alexandria describes a relaxed structure of InFe3P. The functional is PBE-GGA.

a b c (Å): 4.217 4.217 4.217
angles (deg): 90.00 90.00 90.00
Site moments in Bohr magnetons follow the coordinates.
Fractional coordinates of all 5 atoms:
P 0.000 0.000 0.000  -0.06
Fe 0.000 0.500 0.000  2.00
Fe 0.000 0.000 0.500  1.94
Fe 0.500 0.000 0.000  2.07
In 0.500 0.500 0.500  -0.10

**ΔE_f**: 117.1 meV per atom
**Total moment**: 5.73 μB/f.u.
**Symmetry**: No. 221

***

This record from Alexandria describes a relaxed structure of InFe2P. The functional is PBE-GGA.

a b c (Å): 4.570 4.570 4.570
angles (deg): 136.17 117.34 79.59
Site moments in Bohr magnetons follow the coordinates.
Fractional coordinates of all 4 atoms:
Fe 0.061 0.061 0.000  0.99
Fe 0.439 0.439 0.000  0.99
In 0.750 0.250 0.500  -0.06
P 0.250 0.750 0.500  -0.06

**ΔE_f**: 136.5 meV per atom
**Total moment**: 1.79 μB/f.u.
**Symmetry**: No. 71

***

This record from Alexandria describes a relaxed structure of InFe2P2. The functional is PBE-GGA.

a b c (Å): 7.159 7.159 2.713
angles (deg): 90.00 90.00 90.00
Fractional coordinates of all 10 atoms:
P 0.370 0.870 0.000
P 0.870 0.630 0.000
P 0.630 0.130 0.000
P 0.130 0.370 0.000
Fe 0.132 0.632 0.500
Fe 0.632 0.868 0.500
Fe 0.868 0.368 0.500
Fe 0.368 0.132 0.500
In 0.000 0.000 0.000
In 0.500 0.500 0.000

**ΔE_f**: 136.0 meV per atom
**Total moment**: 0.00 μB/f.u.
**Symmetry**: No. 127

***

This record from Alexandria describes a relaxed structure of InFe2P. The functional is PBE-GGA.

a b c (Å): 4.175 2.953 5.074
angles (deg): 73.18 90.00 90.00
Site moments in Bohr magnetons follow the coordinates.
Fractional coordinates of all 4 atoms:
Fe 0.000 0.823 0.982  1.66
Fe 0.500 0.223 0.179  1.92
In 0.000 0.559 0.505  -0.06
P 0.500 0.895 0.834  -0.06

**ΔE_f**: 112.5 meV per atom
**Total moment**: 3.42 μB/f.u.
**Symmetry**: No. 6

***

This record from Alexandria describes a relaxed structure of In3FeP. The functional is PBE-GGA.

a b c (Å): 5.020 5.020 5.020
angles (deg): 90.00 90.00 90.00
Site moments in Bohr magnetons follow the coordinates.
Fractional coordinates of all 5 atoms:
P 0.500 0.500 0.500  0.62
Fe 0.000 0.000 0.000  1.90
In 0.000 0.500 0.000  -0.01
In 0.000 0.000 0.500  -0.04
In 0.500 0.000 0.000  -0.03

**ΔE_f**: 564.6 meV per atom
**Total moment**: 3.11 μB/f.u.
**Symmetry**: No. 221

***

This record from Alexandria describes a relaxed structure of In3FeP. The functional is PBE-GGA.

a b c (Å): 5.170 5.170 5.170
angles (deg): 90.00 90.00 90.00
Site moments in Bohr magnetons follow the coordinates.
Fractional coordinates of all 5 atoms:
P 0.000 0.000 0.000  0.01
Fe 0.500 0.500 0.500  3.21
In 0.000 0.500 0.000  -0.03
In 0.000 0.000 0.500  0.00
In 0.500 0.000 0.000  -0.02

**ΔE_f**: 871.5 meV per atom
**Total moment**: 3.19 μB/f.u.
**Symmetry**: No. 221

***

This record from Alexandria describes a relaxed structure of InFe3P. The functional is PBE-GGA.

a b c (Å): 4.740 4.740 4.740
angles (deg): 90.00 90.00 90.00
Site moments in Bohr magnetons follow the coordinates.
Fractional coordinates of all 5 atoms:
P 0.500 0.500 0.500  -0.04
Fe 0.000 0.500 0.000  2.77
Fe 0.000 0.000 0.500  2.95
Fe 0.500 0.000 0.000  2.59
In 0.000 0.000 0.000  -0.19

**ΔE_f**: 1754.3 meV per atom
**Total moment**: 8.17 μB/f.u.
**Symmetry**: No. 221

***

This record from Alexandria describes a relaxed structure of InFe2P. The functional is PBE-GGA.

a b c (Å): 2.805 2.805 6.522
angles (deg): 90.00 90.00 90.05
Fractional coordinates of all 4 atoms:
Fe 0.000 0.000 0.941
Fe 0.000 0.000 0.559
In 0.500 0.500 0.250
P 0.500 0.500 0.750

**ΔE_f**: -25.0 meV per atom
**Total moment**: 0.00 μB/f.u.
**Symmetry**: No. 123

***

This record from Alexandria describes a relaxed structure of InFeP3. The functional is PBE-GGA.

a b c (Å): 4.457 4.457 4.457
angles (deg): 90.00 90.00 90.00
Fractional coordinates of all 5 atoms:
P 0.000 0.500 0.000
P 0.000 0.000 0.500
P 0.500 0.000 0.000
Fe 0.000 0.000 0.000
In 0.500 0.500 0.500

**ΔE_f**: 446.6 meV per atom
**Total moment**: 0.00 μB/f.u.
**Symmetry**: No. 221

***

This record from Alexandria describes a relaxed structure of InFe2P. The functional is PBE-GGA.

a b c (Å): 4.186 4.186 4.186
angles (deg): 60.00 60.00 60.00
Fractional coordinates of all 4 atoms:
P 0.000 0.000 0.000
Fe 0.250 0.250 0.250
Fe 0.750 0.750 0.750
In 0.500 0.500 0.500

**ΔE_f**: 347.5 meV per atom
**Total moment**: 0.00 μB/f.u.
**Symmetry**: No. 225

***

This record from Alexandria describes a relaxed structure of InFe2P. The functional is PBE-GGA.

a b c (Å): 4.781 4.781 4.781
angles (deg): 131.86 131.86 70.45
Site moments in Bohr magnetons follow the coordinates.
Fractional coordinates of all 4 atoms:
Fe 0.000 0.000 0.000  2.60
Fe 0.500 0.500 0.000  2.60
In 0.250 0.750 0.500  -0.07
P 0.750 0.250 0.500  0.07

**ΔE_f**: 376.5 meV per atom
**Total moment**: 5.30 μB/f.u.
**Symmetry**: No. 139

***

This record from Alexandria describes a relaxed structure of InFe2P. The functional is PBE-GGA.

a b c (Å): 4.157 4.157 3.015
angles (deg): 90.00 90.00 90.00
Fractional coordinates of all 4 atoms:
Fe 0.000 0.000 0.000
Fe 0.500 0.500 0.000
In 0.500 0.000 0.500
P 0.000 0.500 0.500

**ΔE_f**: 344.5 meV per atom
**Total moment**: 0.00 μB/f.u.
**Symmetry**: No. 123

***

This record from Alexandria describes a relaxed structure of InFe2P. The functional is PBE-GGA.

a b c (Å): 4.907 4.907 4.907
angles (deg): 135.12 135.12 65.34
Site moments in Bohr magnetons follow the coordinates.
Fractional coordinates of all 4 atoms:
In 0.500 0.500 0.000  -0.07
Fe 0.000 0.000 0.000  2.46
Fe 0.250 0.750 0.500  2.40
P 0.750 0.250 0.500  0.03

**ΔE_f**: 303.2 meV per atom
**Total moment**: 4.82 μB/f.u.
**Symmetry**: No. 119

***

This record from Alexandria describes a relaxed structure of InFe2P. The functional is PBE-GGA.

a b c (Å): 3.406 3.406 6.275
angles (deg): 74.22 74.22 60.01
Site moments in Bohr magnetons follow the coordinates.
Fractional coordinates of all 4 atoms:
Fe 0.051 0.051 0.846  0.42
Fe 0.279 0.279 0.161  1.30
In 0.498 0.498 0.506  -0.03
P 0.671 0.671 0.988  -0.05

**ΔE_f**: -52.8 meV per atom
**Total moment**: 1.61 μB/f.u.
**Symmetry**: No. 160

***

This record from Alexandria describes a relaxed structure of InFe2P. The functional is PBE-GGA.

a b c (Å): 3.098 3.098 6.091
angles (deg): 90.00 90.00 90.00
Site moments in Bohr magnetons follow the coordinates.
Fractional coordinates of all 4 atoms:
Fe 0.000 0.000 0.975  1.94
Fe 0.500 0.500 0.208  2.20
In 0.000 0.000 0.483  -0.10
P 0.500 0.500 0.835  -0.06

**ΔE_f**: 3.4 meV per atom
**Total moment**: 3.85 μB/f.u.
**Symmetry**: No. 99

***

This record from Alexandria describes a relaxed structure of InFe2P. The functional is PBE-GGA.

a b c (Å): 6.650 6.650 5.429
angles (deg): 52.23 52.23 90.00
Site moments in Bohr magnetons follow the coordinates.
Fractional coordinates of all 8 atoms:
P 0.500 0.500 0.000  -0.06
P 0.250 0.750 0.500  -0.06
Fe 0.546 0.125 0.250  1.10
Fe 0.204 0.625 0.250  1.09
Fe 0.375 0.454 0.750  1.08
Fe 0.875 0.796 0.750  1.07
In 0.000 0.000 0.000  -0.04
In 0.750 0.250 0.500  -0.05

**ΔE_f**: 209.5 meV per atom
**Total moment**: 2.02 μB/f.u.
**Symmetry**: No. 122

***

This record from Alexandria describes a relaxed structure of InFe2P. The functional is PBE-GGA.

a b c (Å): 4.397 4.397 4.397
angles (deg): 60.00 60.00 60.00
Site moments in Bohr magnetons follow the coordinates.
Fractional coordinates of all 4 atoms:
Fe 0.000 0.000 0.000  2.47
Fe 0.250 0.250 0.250  2.48
In 0.500 0.500 0.500  -0.08
P 0.750 0.750 0.750  0.03

**ΔE_f**: 484.6 meV per atom
**Total moment**: 4.79 μB/f.u.
**Symmetry**: No. 216

***

This record from Alexandria describes a relaxed structure of InFeP3. The functional is PBE-GGA.

a b c (Å): 3.754 3.754 15.012
angles (deg): 90.00 90.00 120.00
Fractional coordinates of all 10 atoms:
In 0.000 0.000 0.000
In 0.000 0.000 0.500
Fe 0.333 0.667 0.250
Fe 0.667 0.333 0.750
P 0.333 0.667 0.105
P 0.667 0.333 0.605
P 0.667 0.333 0.895
P 0.333 0.667 0.395
P 0.000 0.000 0.250
P 0.000 0.000 0.750

**ΔE_f**: 56.2 meV per atom
**Total moment**: 0.00 μB/f.u.
**Symmetry**: No. 194

***

This record from Alexandria describes a relaxed structure of InFe2P. The functional is PBE-GGA.

a b c (Å): 3.665 4.247 3.785
angles (deg): 90.00 90.00 90.00
Site moments in Bohr magnetons follow the coordinates.
Fractional coordinates of all 4 atoms:
Fe 0.000 0.000 0.000  2.41
Fe 0.500 0.500 0.000  2.59
In 0.500 0.000 0.500  -0.09
P 0.000 0.500 0.500  0.05

**ΔE_f**: 349.1 meV per atom
**Total moment**: 5.01 μB/f.u.
**Symmetry**: No. 47

***

This record from Alexandria describes a relaxed structure of InFe2PPt. The functional is PBE-GGA.

a b c (Å): 4.745 5.037 4.745
angles (deg): 90.00 90.00 90.00
Site moments in Bohr magnetons follow the coordinates.
Fractional coordinates of all 5 atoms:
P 0.500 0.500 0.500  -0.06
Fe 0.000 0.000 0.500  3.62
Fe 0.500 0.000 0.000  2.83
Pt 0.000 0.000 0.000  0.29
In 0.000 0.500 0.000  -0.01

**ΔE_f**: 945.6 meV per atom
**Total moment**: 6.74 μB/f.u.
**Symmetry**: No. 123